--- 1 ---
Here is a geometry-optimized NbVNF2 structure from the Alexandria database. Energies are from PBE+U.

CIF file:
```
data_NbVNF2
_symmetry_space_group_name_H-M 'P 4/m m m'
_symmetry_Int_Tables_number 123
_symmetry_space_group_name_Hall '-P 4 2'
_cell_length_a 4.1752
_cell_length_b 4.1752
_cell_length_c 4.0885
_cell_angle_alpha 90.00
_cell_angle_beta 90.00
_cell_angle_gamma 90.00
loop_
_atom_site_label
_atom_site_type_symbol
_atom_site_fract_x
_atom_site_fract_y
_atom_site_fract_z
_atom_site_occupancy
Nb1 Nb 0.0000 0.0000 0.0000 1
V1 V 0.5000 0.5000 0.5000 1
N1 N 0.0000 0.0000 0.5000 1
F1 F 0.0000 0.5000 0.0000 1
```

calculated volume	14.25	A^3/atom
ρ	4.6	g/cm³

---

--- 2 ---
Here is a geometry-optimized NbVNF2 structure from the Alexandria database. Energies are from PBE+U.

CIF file:
```
data_NbVNF2
_symmetry_space_group_name_H-M 'P 4/m m m'
_symmetry_Int_Tables_number 123
_symmetry_space_group_name_Hall '-P 4 2'
_cell_length_a 3.8848
_cell_length_b 3.8848
_cell_length_c 4.2198
_cell_angle_alpha 90.00
_cell_angle_beta 90.00
_cell_angle_gamma 90.00
loop_
_atom_site_label
_atom_site_type_symbol
_atom_site_fract_x
_atom_site_fract_y
_atom_site_fract_z
_atom_site_occupancy
Nb1 Nb 0.0000 0.0000 0.0000 1
V1 V 0.5000 0.5000 0.5000 1
N1 N 0.5000 0.5000 0.0000 1
F1 F 0.0000 0.5000 0.5000 1
```

calculated volume	12.74	A^3/atom
ρ	5.1	g/cm³

---

Most stable: 1

---

--- 1 ---
Here is a geometry-optimized NbWN2F structure from the Alexandria database. Energies are from PBE+U.

CIF file:
```
data_NbWN2F
_symmetry_space_group_name_H-M 'P 4/m m m'
_symmetry_Int_Tables_number 123
_symmetry_space_group_name_Hall '-P 4 2'
_cell_length_a 4.0957
_cell_length_b 4.0957
_cell_length_c 3.9878
_cell_angle_alpha 90.00
_cell_angle_beta 90.00
_cell_angle_gamma 90.00
loop_
_atom_site_label
_atom_site_type_symbol
_atom_site_fract_x
_atom_site_fract_y
_atom_site_fract_z
_atom_site_occupancy
Nb1 Nb 0.0000 0.0000 0.0000 1
W1 W 0.5000 0.5000 0.5000 1
N1 N 0.0000 0.5000 0.5000 1
F1 F 0.5000 0.5000 0.0000 1
```

calculated volume	13.38	A^3/atom
ρ	8.0	g/cm³

---

--- 2 ---
Here is a geometry-optimized NbWN2F structure from the Alexandria database. Energies are from PBE+U.

CIF file:
```
data_NbWN2F
_symmetry_space_group_name_H-M 'P 4/m m m'
_symmetry_Int_Tables_number 123
_symmetry_space_group_name_Hall '-P 4 2'
_cell_length_a 4.1353
_cell_length_b 4.1353
_cell_length_c 3.9936
_cell_angle_alpha 90.00
_cell_angle_beta 90.00
_cell_angle_gamma 90.00
loop_
_atom_site_label
_atom_site_type_symbol
_atom_site_fract_x
_atom_site_fract_y
_atom_site_fract_z
_atom_site_occupancy
Nb1 Nb 0.0000 0.0000 0.0000 1
W1 W 0.5000 0.5000 0.5000 1
N1 N 0.0000 0.5000 0.0000 1
F1 F 0.0000 0.0000 0.5000 1
```

calculated volume	13.66	A^3/atom
ρ	7.9	g/cm³

---

Most stable: 2